Arrangement A

A plane-wave DFT calculation with PBE was carried out for an optimized crystal structure of SnP2IO.

Cell: 5.230 5.230 3.982 Å, 90.00 90.00 90.00°
Element x y z (fractional)
1 O 0.000 0.000 0.500
2 P 0.000 0.500 0.000
3 P 0.500 0.000 0.000
4 Sn 0.000 0.000 0.000
5 I 0.500 0.500 0.500

* density of states at the Fermi level: 3.5 states/eV/f.u.
* SG: P4/mmm, No. 123

***

Arrangement B

A plane-wave DFT calculation with PBE was carried out for an optimized crystal structure of SnP2IO.

Cell: 5.211 5.211 3.987 Å, 90.00 90.00 90.00°
Element x y z (fractional)
1 I 0.000 0.000 0.000
2 Sn 0.500 0.500 0.500
3 P 0.000 0.500 0.000
4 P 0.500 0.000 0.000
5 O 0.000 0.000 0.500

* density of states at the Fermi level: 2.7 states/eV/f.u.
* SG: P4/mmm, No. 123

***

Winner for stability: arrangement A

***

Arrangement A

A plane-wave DFT calculation with PBE was carried out for an optimized crystal structure of SnPIO2.

Cell: 4.149 4.149 5.199 Å, 90.00 90.00 90.00°
Element x y z (fractional)
1 Sn 0.500 0.500 0.500
2 I 0.000 0.000 0.500
3 O 0.500 0.000 0.000
4 O 0.000 0.500 0.000
5 P 0.000 0.000 0.000

* density of states at the Fermi level: 0.5 states/eV/f.u.
* SG: P4/mmm, No. 123

***

Arrangement B

A plane-wave DFT calculation with PBE was carried out for an optimized crystal structure of SnPIO2.

Cell: 3.996 3.996 5.935 Å, 90.00 90.00 90.00°
Site moments in Bohr magnetons follow the coordinates.
Element x y z (fractional)
1 P 0.000 0.000 0.500  0.00
2 I 0.500 0.500 0.500  0.00
3 O 0.500 0.000 0.000  0.11
4 O 0.000 0.500 0.000  0.11
5 Sn 0.000 0.000 0.000  -0.01

* density of states at the Fermi level: 3.4 states/eV/f.u.
* SG: P4/mmm, No. 123

***

Winner for stability: arrangement B

***

Arrangement A

A plane-wave DFT calculation with PBE was carried out for an optimized crystal structure of SnPI2O.

Cell: 6.093 6.093 4.017 Å, 90.00 90.00 90.00°
Site moments in Bohr magnetons follow the coordinates.
Element x y z (fractional)
1 I 0.500 0.000 0.000  0.04
2 I 0.000 0.500 0.000  0.04
3 O 0.000 0.000 0.500  0.00
4 P 0.500 0.500 0.500  0.92
5 Sn 0.000 0.000 0.000  -0.01

* density of states at the Fermi level: 3.7 states/eV/f.u.
* SG: P4/mmm, No. 123

***

Arrangement B

A plane-wave DFT calculation with PBE was carried out for an optimized crystal structure of SnPI2O.

Cell: 5.907 5.907 3.616 Å, 90.00 90.00 90.00°
Element x y z (fractional)
1 Sn 0.500 0.500 0.500
2 I 0.000 0.500 0.000
3 I 0.500 0.000 0.000
4 O 0.000 0.000 0.500
5 P 0.000 0.000 0.000

* density of states at the Fermi level: 2.1 states/eV/f.u.
* SG: P4/mmm, No. 123

***

Winner for stability: arrangement B

***

Arrangement A

A plane-wave DFT calculation with PBE was carried out for an optimized crystal structure of SrPI2O.

Cell: 5.987 5.987 3.741 Å, 90.00 90.00 90.00°
Element x y z (fractional)
1 O 0.000 0.000 0.500
2 I 0.000 0.500 0.000
3 I 0.500 0.000 0.000
4 Sr 0.500 0.500 0.500
5 P 0.000 0.000 0.000

* density of states at the Fermi level: 2.4 states/eV/f.u.
* SG: P4/mmm, No. 123

***

Arrangement B

A plane-wave DFT calculation with PBE was carried out for an optimized crystal structure of SrPI2O.

Cell: 6.493 6.493 4.496 Å, 90.00 90.00 90.00°
Site moments in Bohr magnetons follow the coordinates.
Element x y z (fractional)
1 I 0.500 0.000 0.000  -0.09
2 I 0.000 0.500 0.000  -0.09
3 P 0.500 0.500 0.500  0.95
4 O 0.000 0.000 0.500  -0.68
5 Sr 0.000 0.000 0.000  -0.02

* density of states at the Fermi level: 7.6 states/eV/f.u.
* SG: P4/mmm, No. 123

***

Winner for stability: arrangement A

***

Arrangement A

A plane-wave DFT calculation with PBE was carried out for an optimized crystal structure of TaPI2O.

Cell: 5.572 5.572 3.452 Å, 90.00 90.00 90.00°
Site moments in Bohr magnetons follow the coordinates.
Element x y z (fractional)
1 Ta 0.500 0.500 0.500  1.40
2 O 0.000 0.000 0.500  0.01
3 P 0.000 0.000 0.000  0.00
4 I 0.500 0.000 0.000  -0.04
5 I 0.000 0.500 0.000  -0.04

* density of states at the Fermi level: 2.9 states/eV/f.u.
* SG: P4/mmm, No. 123

***

Arrangement B

A plane-wave DFT calculation with PBE was carried out for an optimized crystal structure of TaPI2O.

Cell: 5.590 5.590 3.860 Å, 90.00 90.00 90.00°
Element x y z (fractional)
1 O 0.000 0.000 0.500
2 I 0.000 0.500 0.000
3 I 0.500 0.000 0.000
4 Ta 0.000 0.000 0.000
5 P 0.500 0.500 0.500

* density of states at the Fermi level: 3.3 states/eV/f.u.
* SG: P4/mmm, No. 123

***

Winner for stability: arrangement B

***

Arrangement A

A plane-wave DFT calculation with PBE was carried out for an optimized crystal structure of TaPIO2.

Cell: 3.908 3.908 6.350 Å, 90.00 90.00 90.00°
Element x y z (fractional)
1 I 0.000 0.000 0.500
2 O 0.500 0.000 0.000
3 O 0.000 0.500 0.000
4 Ta 0.000 0.000 0.000
5 P 0.500 0.500 0.500

* density of states at the Fermi level: 1.8 states/eV/f.u.
* SG: P4/mmm, No. 123

***

Arrangement B

A plane-wave DFT calculation with PBE was carried out for an optimized crystal structure of TaPIO2.

Cell: 3.949 3.949 5.519 Å, 90.00 90.00 90.00°
Element x y z (fractional)
1 O 0.000 0.500 0.000
2 O 0.500 0.000 0.000
3 P 0.000 0.000 0.500
4 Ta 0.000 0.000 0.000
5 I 0.500 0.500 0.500

* density of states at the Fermi level: 1.7 states/eV/f.u.
* SG: P4/mmm, No. 123

***

Winner for stability: arrangement B

***

Arrangement A

A plane-wave DFT calculation with PBE was carried out for an optimized crystal structure of TaP2IO.

Cell: 5.028 5.028 3.924 Å, 90.00 90.00 90.00°
Element x y z (fractional)
1 I 0.500 0.500 0.500
2 P 0.500 0.000 0.000
3 P 0.000 0.500 0.000
4 Ta 0.000 0.000 0.000
5 O 0.000 0.000 0.500

* density of states at the Fermi level: 2.6 states/eV/f.u.
* SG: P4/mmm, No. 123

***

Arrangement B

A plane-wave DFT calculation with PBE was carried out for an optimized crystal structure of TaP2IO.

Cell: 5.041 5.041 3.814 Å, 90.00 90.00 90.00°
Site moments in Bohr magnetons follow the coordinates.
Element x y z (fractional)
1 P 0.000 0.500 0.000  -0.06
2 P 0.500 0.000 0.000  -0.06
3 O 0.000 0.000 0.500  0.03
4 I 0.000 0.000 0.000  0.05
5 Ta 0.500 0.500 0.500  1.33

* density of states at the Fermi level: 2.6 states/eV/f.u.
* SG: P4/mmm, No. 123

***

Winner for stability: arrangement A

***

Arrangement A

A plane-wave DFT calculation with PBE was carried out for an optimized crystal structure of TcP2IO.

Cell: 5.106 5.106 3.872 Å, 90.00 90.00 90.00°
Site moments in Bohr magnetons follow the coordinates.
Element x y z (fractional)
1 P 0.500 0.000 0.000  -0.09
2 P 0.000 0.500 0.000  -0.09
3 I 0.000 0.000 0.000  0.01
4 O 0.000 0.000 0.500  0.02
5 Tc 0.500 0.500 0.500  3.29

* density of states at the Fermi level: 2.7 states/eV/f.u.
* SG: P4/mmm, No. 123

***

Arrangement B

A plane-wave DFT calculation with PBE was carried out for an optimized crystal structure of TcP2IO.

Cell: 4.876 4.876 3.786 Å, 90.00 90.00 90.00°
Element x y z (fractional)
1 I 0.500 0.500 0.500
2 Tc 0.000 0.000 0.000
3 O 0.000 0.000 0.500
4 P 0.500 0.000 0.000
5 P 0.000 0.500 0.000

* density of states at the Fermi level: 3.4 states/eV/f.u.
* SG: P4/mmm, No. 123

***

Winner for stability: arrangement B

***

Arrangement A

A plane-wave DFT calculation with PBE was carried out for an optimized crystal structure of TcPIO2.

Cell: 3.934 3.934 5.726 Å, 90.00 90.00 90.00°
Site moments in Bohr magnetons follow the coordinates.
Element x y z (fractional)
1 Tc 0.500 0.500 0.500  3.23
2 I 0.000 0.000 0.000  -0.02
3 O 0.000 0.500 0.000  0.03
4 O 0.500 0.000 0.000  0.03
5 P 0.000 0.000 0.500  -0.03

* density of states at the Fermi level: 1.7 states/eV/f.u.
* SG: P4/mmm, No. 123

***

Arrangement B

A plane-wave DFT calculation with PBE was carried out for an optimized crystal structure of TcPIO2.

Cell: 3.843 3.843 5.460 Å, 90.00 90.00 90.00°
Element x y z (fractional)
1 Tc 0.000 0.000 0.000
2 O 0.000 0.500 0.000
3 O 0.500 0.000 0.000
4 I 0.500 0.500 0.500
5 P 0.000 0.000 0.500

* density of states at the Fermi level: 1.2 states/eV/f.u.
* SG: P4/mmm, No. 123

***

Arrangement C

A plane-wave DFT calculation with PBE was carried out for an optimized crystal structure of TcPIO2.

Cell: 3.810 3.810 6.121 Å, 90.00 90.00 90.00°
Element x y z (fractional)
1 O 0.500 0.000 0.000
2 O 0.000 0.500 0.000
3 P 0.500 0.500 0.500
4 I 0.000 0.000 0.500
5 Tc 0.000 0.000 0.000

* density of states at the Fermi level: 1.3 states/eV/f.u.
* SG: P4/mmm, No. 123

***

Arrangement D

A plane-wave DFT calculation with PBE was carried out for an optimized crystal structure of TcPIO2.

Cell: 3.672 3.672 6.399 Å, 90.00 90.00 90.00°
Site moments in Bohr magnetons follow the coordinates.
Element x y z (fractional)
1 O 0.500 0.000 0.000  0.03
2 O 0.000 0.500 0.000  0.03
3 I 0.000 0.000 0.500  0.03
4 P 0.000 0.000 0.000  0.00
5 Tc 0.500 0.500 0.500  2.19

* density of states at the Fermi level: 3.8 states/eV/f.u.
* SG: P4/mmm, No. 123

***

Winner for stability: arrangement B

***

Arrangement A

A plane-wave DFT calculation with PBE was carried out for an optimized crystal structure of TiPIO2.

Cell: 3.783 3.783 5.679 Å, 90.00 90.00 90.00°
Site moments in Bohr magnetons follow the coordinates.
Element x y z (fractional)
1 P 0.000 0.000 0.000  0.05
2 Ti 0.500 0.500 0.500  1.65
3 O 0.000 0.500 0.000  0.04
4 O 0.500 0.000 0.000  0.04
5 I 0.000 0.000 0.500  -0.02

* density of states at the Fermi level: 5.5 states/eV/f.u.
* SG: P4/mmm, No. 123

***

Arrangement B

A plane-wave DFT calculation with PBE was carried out for an optimized crystal structure of TiPIO2.

Cell: 3.963 3.963 5.702 Å, 90.00 90.00 90.00°
Site moments in Bohr magnetons follow the coordinates.
Element x y z (fractional)
1 I 0.000 0.000 0.000  0.04
2 Ti 0.500 0.500 0.500  1.39
3 O 0.500 0.000 0.000  0.01
4 O 0.000 0.500 0.000  0.01
5 P 0.000 0.000 0.500  -0.09

* density of states at the Fermi level: 5.1 states/eV/f.u.
* SG: P4/mmm, No. 123

***

Arrangement C

A plane-wave DFT calculation with PBE was carried out for an optimized crystal structure of TiPIO2.

Cell: 3.812 3.812 6.608 Å, 90.00 90.00 90.00°
Element x y z (fractional)
1 Ti 0.000 0.000 0.000
2 O 0.500 0.000 0.000
3 O 0.000 0.500 0.000
4 P 0.500 0.500 0.500
5 I 0.000 0.000 0.500

* density of states at the Fermi level: 3.1 states/eV/f.u.
* SG: P4/mmm, No. 123

***

Winner for stability: arrangement C

***

Arrangement A

A plane-wave DFT calculation with PBE was carried out for an optimized crystal structure of TlP2IO.

Cell: 5.305 5.305 4.007 Å, 90.00 90.00 90.00°
Element x y z (fractional)
1 I 0.000 0.000 0.000
2 P 0.500 0.000 0.000
3 P 0.000 0.500 0.000
4 Tl 0.500 0.500 0.500
5 O 0.000 0.000 0.500

* density of states at the Fermi level: 3.8 states/eV/f.u.
* SG: P4/mmm, No. 123

***

Arrangement B

A plane-wave DFT calculation with PBE was carried out for an optimized crystal structure of TlP2IO.

Cell: 5.289 5.289 4.198 Å, 90.00 90.00 90.00°
Site moments in Bohr magnetons follow the coordinates.
Element x y z (fractional)
1 P 0.000 0.500 0.000  0.19
2 P 0.500 0.000 0.000  0.19
3 Tl 0.000 0.000 0.000  0.00
4 I 0.500 0.500 0.500  -0.02
5 O 0.000 0.000 0.500  0.10

* density of states at the Fermi level: 4.0 states/eV/f.u.
* SG: P4/mmm, No. 123

***

Arrangement C

A plane-wave DFT calculation with PBE was carried out for an optimized crystal structure of TlP2IO.

Cell: 4.204 4.204 6.996 Å, 90.00 90.00 90.00°
Element x y z (fractional)
1 P 0.500 0.000 0.000
2 P 0.000 0.500 0.000
3 I 0.000 0.000 0.500
4 Tl 0.500 0.500 0.500
5 O 0.000 0.000 0.000

* density of states at the Fermi level: 4.2 states/eV/f.u.
* SG: P4/mmm, No. 123

***

Winner for stability: arrangement C